(1)
Here is Ac2In3Ag after structural relaxation from Alexandria. Energies are from GGA-PBE.

Results
Energy relative to the elements ... -437 meV/atom
SG ... Pmm2, No. 25
DFT total energy ... -3.65 eV per atom
Distance to the lowest polymorph of the same formula ... 13 meV/atom

a b c (Å): 4.0838 5.0569 8.7673
angles (deg): 90.00 90.00 90.00
Sites, in units of the cell vectors:
1 Ac 0.0000 0.0000 0.0000
2 Ac 0.0000 0.5000 0.4906
3 In 0.5000 0.0000 0.6531
4 In 0.5000 0.5000 0.1691
5 In 0.5000 0.5000 0.8302
6 Ag 0.5000 0.0000 0.3249



(2)
Here is AcIn6Ag2 after structural relaxation from Alexandria. Energies are from GGA-PBE.

Results
Energy relative to the elements ... -128 meV/atom
SG ... P4/mmm, No. 123
DFT total energy ... -3.04 eV per atom

a b c (Å): 4.5732 4.5732 11.3996
angles (deg): 90.00 90.00 90.00
Sites, in units of the cell vectors:
1 Ac 0.0000 0.0000 0.0000
2 In 0.0000 0.0000 0.5000
3 In 0.0000 0.5000 0.2755
4 In 0.0000 0.5000 0.7245
5 In 0.5000 0.0000 0.2755
6 In 0.5000 0.0000 0.7245
7 In 0.5000 0.5000 0.5000
8 Ag 0.5000 0.5000 0.1185
9 Ag 0.5000 0.5000 0.8815



(3)
Here is Ac3In8Ag3 after structural relaxation from Alexandria. Energies are from GGA-PBE.

Results
Energy relative to the elements ... -350 meV/atom
SG ... Immm, No. 71
DFT total energy ... -3.41 eV per atom

a b c (Å): 9.2362 9.2362 9.2362
angles (deg): 148.81 110.21 78.41
Sites, in units of the cell vectors:
1 Ac 0.0000 0.0000 0.0000
2 Ac 0.3001 0.3001 0.0000
3 Ac 0.6999 0.6999 0.0000
4 In 0.0144 0.6526 0.3618
5 In 0.1551 0.8651 0.2900
6 In 0.2907 0.6526 0.6382
7 In 0.4248 0.1349 0.2900
8 In 0.5752 0.8651 0.7100
9 In 0.7093 0.3474 0.3618
10 In 0.8449 0.1349 0.7100
11 In 0.9856 0.3474 0.6382
12 Ag 0.3265 0.5000 0.8265
13 Ag 0.5000 0.0000 0.5000
14 Ag 0.6735 0.5000 0.1735



(4)
Here is AcIn4Ag3 after structural relaxation from Alexandria. Energies are from GGA-PBE.

Results
Energy relative to the elements ... -211 meV/atom
SG ... P4/mmm, No. 123
DFT total energy ... -3.16 eV per atom

a b c (Å): 4.6515 4.6515 9.4049
angles (deg): 90.00 90.00 90.00
Sites, in units of the cell vectors:
1 Ac 0.0000 0.0000 0.0000
2 In 0.0000 0.5000 0.3224
3 In 0.0000 0.5000 0.6776
4 In 0.5000 0.0000 0.3224
5 In 0.5000 0.0000 0.6776
6 Ag 0.0000 0.0000 0.5000
7 Ag 0.5000 0.5000 0.1436
8 Ag 0.5000 0.5000 0.8564



Copy entry 2 word for word.
Here is AcIn6Ag2 after structural relaxation from Alexandria. Energies are from GGA-PBE.

Results
Energy relative to the elements ... -128 meV/atom
SG ... P4/mmm, No. 123
DFT total energy ... -3.04 eV per atom

a b c (Å): 4.5732 4.5732 11.3996
angles (deg): 90.00 90.00 90.00
Sites, in units of the cell vectors:
1 Ac 0.0000 0.0000 0.0000
2 In 0.0000 0.0000 0.5000
3 In 0.0000 0.5000 0.2755
4 In 0.0000 0.5000 0.7245
5 In 0.5000 0.0000 0.2755
6 In 0.5000 0.0000 0.7245
7 In 0.5000 0.5000 0.5000
8 Ag 0.5000 0.5000 0.1185
9 Ag 0.5000 0.5000 0.8815